No. 1
Compound: UGa2Ge
Source: Alexandria via LeMat-Bulk
Functional: PBE
Structure: optimized geometry

Unit cell a=3.540 b=3.540 c=6.290 alpha=90.00 beta=90.00 gamma=90.00
Element x y z (fractional)
Ge (0.500, 0.500, 0.000)
U (0.500, 0.500, 0.500)
Ga (0.000, 0.000, 0.789)
Ga (0.000, 0.000, 0.211)

Properties
symmetry	P4/mmm, No. 123
mass density	9.48	g cm⁻³
energy relative to the lowest polymorph listed for this composition	28.37	kJ per mole of atoms



No. 2
Compound: U4GaGe
Source: Alexandria via LeMat-Bulk
Functional: PBE
Structure: optimized geometry

Unit cell a=4.894 b=5.529 c=5.529 alpha=94.09 beta=63.75 gamma=63.75
Element x y z (fractional)
U (0.749, 0.592, 0.911)
U (0.749, 0.911, 0.592)
U (0.251, 0.408, 0.089)
U (0.251, 0.089, 0.408)
Ga (0.000, 0.000, 0.000)
Ge (0.500, 0.500, 0.500)

Properties
symmetry	Immm, No. 71
mass density	16.01	g cm⁻³



No. 3
Compound: U4Ga12Ge
Source: Alexandria via LeMat-Bulk
Functional: PBE
Structure: optimized geometry

Unit cell a=7.528 b=7.528 c=7.528 alpha=109.47 beta=109.47 gamma=109.47
Element x y z (fractional)
U (0.000, 0.000, 0.500)
U (0.500, 0.000, 0.000)
U (0.500, 0.500, 0.500)
U (0.000, 0.500, 0.000)
Ga (0.000, 0.303, 0.303)
Ga (0.000, 0.697, 0.697)
Ga (0.697, 0.697, 0.000)
Ga (0.303, 0.303, 0.000)
Ga (0.303, 0.000, 0.303)
Ga (0.697, 0.000, 0.697)
Ga (0.500, 0.250, 0.750)
Ga (0.500, 0.750, 0.250)
Ga (0.750, 0.250, 0.500)
Ga (0.250, 0.750, 0.500)
Ga (0.750, 0.500, 0.250)
Ga (0.250, 0.500, 0.750)
Ge (0.000, 0.000, 0.000)

Properties
symmetry	Im-3m, No. 229
mass density	9.41	g cm⁻³



No. 4
Compound: UGaGe
Source: Alexandria via LeMat-Bulk
Functional: PBE
Structure: optimized geometry

Unit cell a=7.279 b=5.779 c=4.168 alpha=111.14 beta=90.00 gamma=129.03
Element x y z (fractional)
Ge (0.650, 0.301, 0.400)
Ge (0.850, 0.699, 0.100)
U (0.358, 0.500, 0.250)
U (0.142, 0.500, 0.750)
Ga (0.250, 0.000, 0.550)
Ga (0.750, 0.000, 0.950)

Properties
symmetry	I2_12_12_1, No. 24
mass density	10.47	g cm⁻³
energy relative to the lowest polymorph listed for this composition	14.73	kJ per mole of atoms



No. 5
Compound: UGaGe
Source: Alexandria via LeMat-Bulk
Functional: PBE
Structure: optimized geometry

Unit cell a=2.838 b=4.838 c=4.838 alpha=120.00 beta=90.00 gamma=90.00
Element x y z (fractional)
Ge (0.166, 0.000, 0.000)
U (0.667, 0.333, 0.667)
Ga (0.167, 0.667, 0.333)

Properties
symmetry	P-6m2, No. 187
mass density	10.98	g cm⁻³
energy relative to the lowest polymorph listed for this composition	0.00	kJ per mole of atoms



No. 6
Compound: UZnGaGe
Source: Alexandria via LeMat-Bulk
Functional: PBE
Structure: optimized geometry

Unit cell a=4.089 b=4.212 c=4.447 alpha=90.00 beta=90.00 gamma=90.00
Element x y z (fractional)
U (0.500, 0.500, 0.000)
Zn (0.500, 0.000, 0.500)
Ga (0.000, 0.500, 0.500)
Ge (0.000, 0.000, 0.000)

Properties
symmetry	Pmmm, No. 47
mass density	9.67	g cm⁻³



No. 7
Compound: V6Ga2Ge
Source: Alexandria via LeMat-Bulk
Functional: PBE
Structure: optimized geometry

Unit cell a=7.005 b=7.005 c=7.005 alpha=101.41 beta=113.44 gamma=113.85
Element x y z (fractional)
V (0.482, 0.696, 0.786)
V (0.518, 0.304, 0.214)
V (0.089, 0.304, 0.786)
V (0.911, 0.696, 0.214)
V (0.808, 0.738, 0.547)
V (0.192, 0.262, 0.453)
V (0.192, 0.738, 0.930)
V (0.808, 0.262, 0.070)
V (0.736, 0.412, 0.676)
V (0.264, 0.588, 0.324)
V (0.264, 0.940, 0.676)
V (0.736, 0.060, 0.324)
Ga (0.500, 0.362, 0.862)
Ga (0.500, 0.638, 0.138)
Ga (0.658, 0.000, 0.658)
Ga (0.342, 0.000, 0.342)
Ge (0.000, 0.500, 0.500)
Ge (0.000, 0.000, 0.000)

Properties
symmetry	Immm, No. 71
mass density	6.59	g cm⁻³
energy relative to the lowest polymorph listed for this composition	12.41	kJ per mole of atoms



No. 8
Compound: V6GaGe3
Source: Alexandria via LeMat-Bulk
Functional: PBE
Structure: optimized geometry

Unit cell a=6.263 b=7.265 c=7.265 alpha=114.28 beta=90.00 gamma=90.00
Element x y z (fractional)
V (0.109, 0.762, 0.623)
V (0.609, 0.623, 0.762)
V (0.309, 0.559, 0.981)
V (0.809, 0.981, 0.559)
V (0.288, 0.945, 0.055)
V (0.543, 0.269, 0.731)
V (0.043, 0.731, 0.269)
V (0.788, 0.055, 0.945)
V (0.309, 0.019, 0.441)
V (0.809, 0.441, 0.019)
V (0.109, 0.377, 0.238)
V (0.609, 0.238, 0.377)
Ga (0.118, 0.184, 0.816)
Ga (0.618, 0.816, 0.184)
Ge (0.465, 0.914, 0.706)
Ge (0.965, 0.706, 0.914)
Ge (0.270, 0.424, 0.576)
Ge (0.770, 0.576, 0.424)
Ge (0.965, 0.086, 0.294)
Ge (0.465, 0.294, 0.086)

Properties
symmetry	Cmc2_1, No. 36
mass density	6.54	g cm⁻³



Number 1: formation energy 0.0054 eV/atom. Number 2: formation energy -0.0428 eV/atom. Number 3: formation energy -0.1509 eV/atom. Number 4: formation energy 0.0366 eV/atom. Number 5: formation energy -0.1161 eV/atom. Number 6: formation energy -0.1753 eV/atom. Number 7: formation energy -0.0170 eV/atom. Number 8: formation energy -0.0943 eV/atom.